{"formula": "Tb2CoHg", "functional": "GGA-PBE", "state": "optimized geometry", "relative_energy_mev_per_atom": 0, "ef_ev_per_atom": -0.3152, "sg": "P4/mmm (123)", "dos_at_fermi_per_ev_atom": 0.5770, "lattice_angstrom": [[3.455, 0.000, 0.000], [0.000, 3.455, 0.000], [0.000, 0.000, 7.549]], "species": ["Tb", "Tb", "Co", "Hg"], "frac_coords": [[0.000, 0.000, 0.217], [0.000, 0.000, 0.783], [0.500, 0.500, 0.000], [0.500, 0.500, 0.500]]}

{"formula": "Ba2NdBr2O2", "functional": "GGA-PBE", "state": "optimized geometry", "sg": "I4/mmm (139)", "e_form_raw_ev_per_atom": -2.3168, "dos_at_fermi_per_ev_atom": 0.6174, "lattice_angstrom": [[-2.352, 2.352, 8.430], [2.352, -2.352, 8.430], [2.352, 2.352, -8.430]], "species": ["Ba", "Ba", "Nd", "Br", "Br", "O", "O"], "frac_coords": [[0.108, 0.108, 0.000], [0.892, 0.892, 0.000], [0.500, 0.500, 0.000], [0.315, 0.315, 0.000], [0.685, 0.685, 0.000], [0.000, 0.500, 0.500], [0.500, 0.000, 0.500]]}

{"formula": "TlSbRu2", "functional": "GGA-PBE", "state": "optimized geometry", "sg": "R3m (160)", "e_form_raw_ev_per_atom": 0.5049, "dos_at_fermi_per_ev_atom": 0.9656, "lattice_angstrom": [[1.512, 0.873, 10.754], [-1.512, 0.873, 10.754], [0.000, -1.746, 10.754]], "species": ["Tl", "Sb", "Ru", "Ru"], "frac_coords": [[0.000, 0.000, 0.000], [0.206, 0.206, 0.206], [0.472, 0.472, 0.472], [0.744, 0.744, 0.744]]}

{"formula": "CsH6PbAu2", "functional": "GGA-PBE", "state": "optimized geometry", "sg": "C2/c (15)", "dos_at_fermi_per_ev_atom": 0.0244, "final_energy_ev_per_atom": -3.084, "lattice_angstrom": [[4.738, -5.006, 0.000], [4.738, 5.006, 0.000], [-2.613, 0.000, 7.639]], "species": ["Cs", "Cs", "H", "H", "H", "H", "H", "H", "H", "H", "H", "H", "H", "H", "Pb", "Pb", "Au", "Au", "Au", "Au"], "frac_coords": [[0.120, 0.880, 0.750], [0.880, 0.120, 0.250], [0.061, 0.621, 0.257], [0.186, 0.234, 0.578], [0.234, 0.186, 0.078], [0.234, 0.560, 0.959], [0.379, 0.939, 0.243], [0.440, 0.766, 0.541], [0.560, 0.234, 0.459], [0.621, 0.061, 0.757], [0.766, 0.440, 0.041], [0.766, 0.814, 0.922], [0.814, 0.766, 0.422], [0.939, 0.379, 0.743], [0.382, 0.618, 0.250], [0.618, 0.382, 0.750], [0.198, 0.391, 0.767], [0.391, 0.198, 0.267], [0.609, 0.802, 0.733], [0.802, 0.609, 0.233]]}

{"formula": "Ba4InAuI2", "functional": "GGA-PBE", "state": "optimized geometry", "sg": "P2/m (10)", "e_form_raw_ev_per_atom": -0.9407, "dos_at_fermi_per_ev_atom": 0.5973, "lattice_angstrom": [[8.453, 0.000, 0.000], [0.000, 4.768, 0.000], [-2.745, 0.000, 9.005]], "species": ["Ba", "Ba", "Ba", "Ba", "In", "Au", "I", "I"], "frac_coords": [[0.235, 0.000, 0.215], [0.248, 0.500, 0.773], [0.752, 0.500, 0.227], [0.765, 0.000, 0.785], [0.500, 0.000, 0.000], [0.000, 0.500, 0.000], [0.000, 0.000, 0.500], [0.500, 0.500, 0.500]]}

{"formula": "DyTm8Th2", "functional": "GGA-PBE", "state": "optimized geometry", "relative_energy_mev_per_atom": 13, "ef_ev_per_atom": 0.2025, "sg": "C2/m (12)", "dos_at_fermi_per_ev_atom": 1.2532, "lattice_angstrom": [[4.469, -7.943, 0.000], [4.469, 7.943, 0.000], [-3.290, 0.000, 4.882]], "species": ["Dy", "Tm", "Tm", "Tm", "Tm", "Tm", "Tm", "Tm", "Tm", "Th", "Th"], "frac_coords": [[0.000, 0.000, 0.000], [0.100, 0.336, 0.678], [0.208, 0.792, 0.000], [0.336, 0.100, 0.678], [0.429, 0.429, 0.204], [0.571, 0.571, 0.796], [0.664, 0.900, 0.322], [0.792, 0.208, 0.000], [0.900, 0.664, 0.322], [0.307, 0.693, 0.500], [0.693, 0.307, 0.500]]}

{"formula": "Ba2SrS2Cl2", "functional": "GGA-PBE", "state": "optimized geometry", "sg": "I4/mmm (139)", "e_form_raw_ev_per_atom": -2.1187, "dos_at_fermi_per_ev_atom": 0.0000, "lattice_angstrom": [[-2.793, 2.793, 7.873], [2.793, -2.793, 7.873], [2.793, 2.793, -7.873]], "species": ["Ba", "Ba", "Sr", "S", "S", "Cl", "Cl"], "frac_coords": [[0.118, 0.118, 0.000], [0.882, 0.882, 0.000], [0.500, 0.500, 0.000], [0.000, 0.500, 0.500], [0.500, 0.000, 0.500], [0.309, 0.309, 0.000], [0.691, 0.691, 0.000]]}

{"formula": "Dy2Cd", "functional": "GGA-PBE", "state": "optimized geometry", "ef_ev_per_atom": -0.1941, "sg": "P4/mmm (123)", "dos_at_fermi_per_ev_atom": 1.2230, "lattice_angstrom": [[3.639, 0.000, 0.000], [0.000, 3.639, 0.000], [0.000, 0.000, 12.745]], "species": ["Dy", "Dy", "Dy", "Dy", "Cd", "Cd"], "frac_coords": [[0.000, 0.000, 0.000], [0.000, 0.000, 0.308], [0.000, 0.000, 0.692], [0.500, 0.500, 0.500], [0.500, 0.500, 0.152], [0.500, 0.500, 0.848]]}

{"formula": "ReTe2OsI", "functional": "GGA-PBE", "state": "optimized geometry", "relative_energy_mev_per_atom": 94, "sg": "P4/mmm (123)", "e_form_raw_ev_per_atom": 1.8107, "dos_at_fermi_per_ev_atom": 1.4309, "lattice_angstrom": [[5.156, 0.000, 0.000], [0.000, 5.156, 0.000], [0.000, 0.000, 5.511]], "species": ["Re", "Te", "Te", "Os", "I"], "frac_coords": [[0.000, 0.000, 0.000], [0.000, 0.500, 0.000], [0.500, 0.000, 0.000], [0.500, 0.500, 0.500], [0.000, 0.000, 0.500]]}

{"formula": "Ta3SnP", "functional": "GGA-PBE", "state": "optimized geometry", "relative_energy_mev_per_atom": 0, "ef_ev_per_atom": 0.3440, "sg": "Pm-3m (221)", "dos_at_fermi_per_ev_atom": 1.2477, "lattice_angstrom": [[4.633, 0.000, 0.000], [0.000, 4.633, 0.000], [0.000, 0.000, 4.633]], "species": ["Ta", "Ta", "Ta", "Sn", "P"], "frac_coords": [[0.000, 0.000, 0.500], [0.000, 0.500, 0.000], [0.500, 0.000, 0.000], [0.500, 0.500, 0.500], [0.000, 0.000, 0.000]]}

{"formula": "Na2ZnCd6Hg", "functional": "GGA-PBE", "state": "optimized geometry", "ef_ev_per_atom": 0.0267, "sg": "R-3m (166)", "dos_at_fermi_per_ev_atom": 0.3232, "lattice_angstrom": [[3.671, 2.120, 11.726], [-3.671, 2.120, 11.726], [0.000, -4.239, 11.726]], "species": ["Na", "Na", "Na", "Na", "Zn", "Zn", "Cd", "Cd", "Cd", "Cd", "Cd", "Cd", "Cd", "Cd", "Cd", "Cd", "Cd", "Cd", "Hg", "Hg"], "frac_coords": [[0.101, 0.101, 0.101], [0.276, 0.276, 0.276], [0.724, 0.724, 0.724], [0.899, 0.899, 0.899], [0.000, 0.000, 0.000], [0.500, 0.500, 0.500], [0.071, 0.675, 0.675], [0.222, 0.222, 0.632], [0.222, 0.632, 0.222], [0.325, 0.325, 0.929], [0.325, 0.929, 0.325], [0.368, 0.778, 0.778], [0.632, 0.222, 0.222], [0.675, 0.071, 0.675], [0.675, 0.675, 0.071], [0.778, 0.368, 0.778], [0.778, 0.778, 0.368], [0.929, 0.325, 0.325], [0.425, 0.425, 0.425], [0.575, 0.575, 0.575]]}

{"formula": "Tb2Dy2Ga4Si", "functional": "GGA-PBE", "state": "optimized geometry", "sg": "I4/mmm (139)", "e_form_raw_ev_per_atom": -0.3138, "dos_at_fermi_per_ev_atom": 0.5947, "lattice_angstrom": [[-3.469, 3.469, 4.372], [3.469, -3.469, 4.372], [3.469, 3.469, -4.372]], "species": ["Tb", "Tb", "Dy", "Dy", "Ga", "Ga", "Ga", "Ga", "Si"], "frac_coords": [[0.250, 0.750, 0.500], [0.750, 0.250, 0.500], [0.194, 0.194, 0.000], [0.806, 0.806, 0.000], [0.252, 0.252, 0.503], [0.252, 0.748, 0.000], [0.748, 0.252, 0.000], [0.748, 0.748, 0.497], [0.500, 0.500, 0.000]]}

Q: What is the formula in the eleventh record?
A: Na2ZnCd6Hg